RbBi2RhO8 after structural relaxation, computed with GGA-PBE.

It has space group P-1 (No. 2), with a = 5.2297 Å, b = 5.7336 Å, c = 7.1753 Å, α = 92.56°, β = 102.91° and γ = 105.13°. Symmetry generates all atoms from Rb at (0.0000, 0.0000, 0.0000), Bi at (0.2864, 0.4403, 0.6511), Rh at (0.5000, 0.0000, 0.5000), O at (0.1293, 0.5266, 0.0039), O at (0.1635, 0.7103, 0.4537), O at (0.3254, 0.2587, 0.3871) and O at (0.4263, 0.0968, 0.7359).

As for the density: 6.1 Mg/m³. Its raw formation energy is -848 meV/atom. The value obtained for the electronic total energy is -5.4938 eV per atom.

RbBiRhO6 after structural relaxation, computed with GGA-PBE.

It has space group P312 (No. 149), with a = 5.5141 Å, b = 5.5141 Å, c = 6.3662 Å, α = 90.00°, β = 90.00° and γ = 120.00°. Symmetry generates all atoms from Rb at (0.0000, 0.0000, 0.0000), Bi at (0.3333, 0.6667, 0.5000), Rh at (0.6667, 0.3333, 0.5000) and O at (0.3999, 0.0286, 0.6809).

As for the density: 4.9 Mg/m³. Its raw formation energy is -773 meV/atom. The value obtained for the electronic total energy is -5.4342 eV per atom.